VASP calculation (PBE) on LiPu3Ga8 after structural relaxation.

## Properties
* calculated formation energy: -0.161 eV/atom
* mass density: 8.581 g/cm³
* energy: -71.059 eV per formula unit
* magnetic moment: 6.02 μB/cell

abc: 5.6812 5.6812 9.5574
angles: 72.71 72.71 60.00
Closest atoms and distances in Å follow each position.
Fractional positions:
1 Ga 0.1052 0.5913 0.7122  5 Ga 2.61-2.92, 1 Li 2.85
2 Ga 0.1912 0.1912 0.4265  4 Pu 3.28-3.54, 3 Li 3.29
3 Ga 0.5913 0.1052 0.7122  5 Ga 2.61-2.92, 1 Li 2.85
4 Ga 0.7876 0.2634 0.1612  5 Ga 2.67-2.98
5 Ga 0.6886 0.6886 0.9342  6 Ga 2.61-2.67
6 Ga 0.5913 0.5913 0.7122  5 Ga 2.61-2.92, 1 Li 2.85
7 Ga 0.7876 0.7876 0.1612  5 Ga 2.67-2.98
8 Ga 0.2634 0.7876 0.1612  5 Ga 2.67-2.98
9 Pu 0.0510 0.0510 0.8471  12 Ga 3.09-3.37
10 Pu 0.5222 0.5222 0.4333  9 Ga 2.97-3.28, 3 Li 3.29
11 Pu 0.3226 0.3226 0.0321  12 Ga 3.07-3.40
12 Li 0.8479 0.8479 0.4563  6 Ga 2.85-3.07

***

VASP calculation (PBE) on LiPu2Ga9 after structural relaxation.

## Properties
* calculated formation energy: -0.196 eV/atom
* mass density: 7.849 g/cm³
* energy: -60.174 eV per formula unit
* magnetic moment: 11.77 μB/cell

abc: 5.5143 5.5143 9.5629
angles: 73.24 73.24 60.00
Closest atoms and distances in Å follow each position.
Fractional positions:
1 Ga 0.5879 0.5879 0.7465  7 Ga 2.70-2.82
2 Ga 0.0776 0.5879 0.7465  7 Ga 2.70-2.82
3 Ga 0.5000 0.5000 0.5000  6 Ga 2.75
4 Ga 0.5879 0.0776 0.7465  7 Ga 2.70-2.82
5 Ga 0.9224 0.4121 0.2535  7 Ga 2.70-2.82
6 Ga 0.4121 0.4121 0.2535  7 Ga 2.70-2.82
7 Ga 0.4121 0.9224 0.2535  7 Ga 2.70-2.82
8 Ga 0.6643 0.6643 0.0072  6 Ga 2.75-2.82
9 Ga 0.3357 0.3357 0.9928  6 Ga 2.75-2.82
10 Pu 0.8562 0.8562 0.4315  12 Ga 3.19-3.24, 3 Pu 3.41
11 Pu 0.1438 0.1438 0.5685  12 Ga 3.19-3.24, 3 Pu 3.41
12 Li 0.0000 0.0000 0.0000  6 Ga 3.18

***

VASP calculation (PBE) on Li2PuGa6 after structural relaxation.

## Properties
* calculated formation energy: -0.227 eV/atom
* mass density: 6.499 g/cm³
* energy: -38.365 eV per formula unit
* E above lowest polymorph: 0.0486 eV/atom
* magnetic moment: 5.43 μB/cell

abc: 4.0589 7.2431 7.2431
angles: 58.98 73.73 73.73
Closest atoms and distances in Å follow each position.
Fractional positions:
1 Li 0.8827 0.6173 0.6173  6 Ga 2.63-2.75, 1 Li 2.80
2 Li 0.1173 0.3827 0.3827  6 Ga 2.63-2.75, 1 Li 2.80
3 Ga 0.6926 0.9942 0.6206  4 Ga 2.51-2.66, 1 Li 2.63
4 Ga 0.3074 0.3794 0.0058  4 Ga 2.51-2.66, 1 Li 2.63
5 Ga 0.3074 0.0058 0.3794  4 Ga 2.51-2.66, 1 Li 2.63
6 Ga 0.5000 0.3281 0.6719  3 Ga 2.45-2.51
7 Ga 0.5000 0.6719 0.3281  3 Ga 2.45-2.51
8 Ga 0.6926 0.6206 0.9942  4 Ga 2.51-2.66, 1 Li 2.63
9 Pu 0.0000 0.0000 0.0000  12 Ga 3.10-3.34

***

VASP calculation (PBE) on Li2PuGa9 after structural relaxation.

## Properties
* calculated formation energy: -0.222 eV/atom
* mass density: 6.864 g/cm³
* energy: -48.062 eV per formula unit
* magnetic moment: 5.24 μB/cell

abc: 4.1355 4.1355 12.5250
angles: 90.00 90.00 90.00
Closest atoms and distances in Å follow each position.
Fractional positions:
1 Pu 0.0000 0.0000 0.0000  12 Ga 2.92-3.04
2 Li 0.0000 0.0000 0.6659  12 Ga 2.85-2.93
3 Li 0.0000 0.0000 0.3341  12 Ga 2.85-2.93
4 Ga 0.5000 0.5000 0.0000  4 Pu 2.92, 8 Ga 3.04
5 Ga 0.5000 0.0000 0.5000  8 Ga 2.92-2.93, 4 Li 2.93
6 Ga 0.5000 0.0000 0.1781  2 Li 2.85, 8 Ga 2.85-3.04, 2 Pu 3.04
7 Ga 0.5000 0.5000 0.6653  8 Ga 2.85-2.93, 4 Li 2.92
8 Ga 0.0000 0.5000 0.8219  2 Li 2.85, 8 Ga 2.85-3.04, 2 Pu 3.04
9 Ga 0.5000 0.5000 0.3347  8 Ga 2.85-2.93, 4 Li 2.92
10 Ga 0.5000 0.0000 0.8219  2 Li 2.85, 8 Ga 2.85-3.04, 2 Pu 3.04
11 Ga 0.0000 0.5000 0.5000  8 Ga 2.92-2.93, 4 Li 2.93
12 Ga 0.0000 0.5000 0.1781  2 Li 2.85, 8 Ga 2.85-3.04, 2 Pu 3.04

***

VASP calculation (PBE) on LiPu2Ga5 after structural relaxation.

## Properties
* calculated formation energy: -0.269 eV/atom
* mass density: 8.990 g/cm³
* energy: -47.864 eV per formula unit
* magnetic moment: 11.58 μB/cell

abc: 4.7229 4.7229 7.7421
angles: 107.76 107.76 90.00
Closest atoms and distances in Å follow each position.
Fractional positions:
1 Ga 0.6044 0.1044 0.2088  2 Li 2.78, 3 Ga 2.78-2.92, 2 Pu 3.03
2 Ga 0.3956 0.8956 0.7912  2 Li 2.78, 3 Ga 2.78-2.92, 2 Pu 3.03
3 Ga 0.1044 0.6044 0.2088  3 Ga 2.78-2.92, 2 Li 2.78, 2 Pu 3.03
4 Ga 0.5000 0.5000 0.0000  8 Ga 2.78
5 Ga 0.8956 0.3956 0.7912  3 Ga 2.78-2.92, 2 Li 2.78, 2 Pu 3.03
6 Pu 0.2595 0.2595 0.5191  9 Ga 3.03-3.36, 4 Pu 3.35
7 Pu 0.7405 0.7405 0.4809  9 Ga 3.03-3.36, 4 Pu 3.35
8 Li 0.0000 0.0000 0.0000  8 Ga 2.78

***

VASP calculation (PBE) on LiPuGaRu after structural relaxation.

## Properties
* calculated formation energy: -0.149 eV/atom
* mass density: 10.150 g/cm³
* energy: -29.145 eV per formula unit
* magnetic moment: 5.27 μB/cell

abc: 4.6037 4.6037 4.6037
angles: 60.00 60.00 60.00
Closest atoms and distances in Å follow each position.
Fractional positions:
1 Ga 0.5000 0.5000 0.5000  4 Ru 2.82, 4 Li 2.82
2 Ru 0.7500 0.7500 0.7500  4 Ga 2.82, 4 Pu 2.82
3 Pu 0.0000 0.0000 0.0000  4 Li 2.82, 4 Ru 2.82
4 Li 0.2500 0.2500 0.2500  4 Pu 2.82, 4 Ga 2.82

***

VASP calculation (PBE) on LiPu2GaS5 after structural relaxation.

## Properties
* mass density: 6.739 g/cm³
* energy: -66.105 eV per formula unit
* magnetic moment: 20.00 μB/cell
* ΔE_f (raw): -11.9 eV/f.u.

abc: 3.7938 8.5484 11.2983
angles: 90.00 90.00 102.82
Closest atoms and distances in Å follow each position.
Fractional positions:
1 S 0.7087 0.4175 0.1697  2 Li 2.57, 3 Pu 2.74-2.82
2 S 0.0449 0.0897 0.0672  2 Ga 2.31
3 S 0.6855 0.3710 0.8532  1 Ga 2.30
4 S 0.4983 0.9966 0.7787  1 Ga 2.28
5 S 0.9551 0.9103 0.5672  2 Ga 2.31
6 S 0.3602 0.7203 0.9995  1 Li 2.45
7 S 0.6398 0.2797 0.4995  1 Li 2.45
8 S 0.5017 0.0034 0.2787  1 Ga 2.28
9 S 0.3145 0.6290 0.3532  1 Ga 2.30
10 S 0.2913 0.5825 0.6697  2 Li 2.57, 3 Pu 2.74-2.82
11 Pu 0.8778 0.7557 0.1791  8 S 2.79-3.06
12 Pu 0.1350 0.2699 0.3065  7 S 2.74-3.04
13 Pu 0.1222 0.2443 0.6791  8 S 2.79-3.06
14 Pu 0.8650 0.7301 0.8065  7 S 2.74-3.04
15 Li 0.2138 0.4276 0.0161  5 S 2.45-2.68
16 Li 0.7862 0.5724 0.5161  5 S 2.45-2.68
17 Ga 0.4345 0.8689 0.4540  4 S 2.28-2.31
18 Ga 0.5655 0.1311 0.9540  4 S 2.28-2.31

***

VASP calculation (PBE) on Li4Pu3GaS8 after structural relaxation.

## Properties
* mass density: 5.631 g/cm³
* energy: -108.103 eV per formula unit
* magnetic moment: 14.65 μB/cell
* ΔE_f (raw): -21.4 eV/f.u.

abc: 7.8177 7.5491 7.8177
angles: 121.19 120.00 90.00
Closest atoms and distances in Å follow each position.
Fractional positions:
1 S 0.7586 0.2559 0.5172  1 Ga 2.62, 3 Li 2.70-2.81, 2 Pu 2.74
2 S 0.2494 0.2483 0.4989  3 Li 2.71, 3 Pu 2.72
3 S 0.7613 0.7440 0.0027  1 Ga 2.62, 3 Li 2.70-2.81, 2 Pu 2.74
4 S 0.2414 0.7441 0.4828  1 Ga 2.62, 3 Li 2.70-2.81, 2 Pu 2.74
5 S 0.2387 0.2560 0.9973  1 Ga 2.62, 3 Li 2.70-2.81, 2 Pu 2.74
6 S 0.7586 0.2560 0.9973  1 Ga 2.62, 3 Li 2.70-2.81, 2 Pu 2.74
7 S 0.2414 0.7440 0.0027  1 Ga 2.62, 3 Li 2.70-2.81, 2 Pu 2.74
8 S 0.7506 0.7517 0.5011  3 Li 2.71, 3 Pu 2.72
9 Pu 0.5000 0.5000 0.5000  6 S 2.72-2.74
10 Pu 0.5000 0.5000 0.0000  6 S 2.72-2.74
11 Pu 0.0000 0.5000 0.5000  6 S 2.72-2.74
12 Li 0.0000 0.0000 0.0000  6 S 2.70-2.71
13 Li 0.5000 0.0000 0.5000  6 S 2.70-2.71
14 Li 0.5000 0.0000 0.0000  6 S 2.81
15 Li 0.0000 0.0000 0.5000  6 S 2.70-2.71
16 Ga 0.0000 0.5000 0.0000  6 S 2.62

***

VASP calculation (PBE) on LiPu2GaSe5 after structural relaxation.

## Properties
* mass density: 7.687 g/cm³
* energy: -61.514 eV per formula unit
* magnetic moment: 20.00 μB/cell
* ΔE_f (raw): -10.5 eV/f.u.

abc: 3.9671 9.0394 11.8486
angles: 90.00 90.00 102.68
Closest atoms and distances in Å follow each position.
Fractional positions:
1 Pu 0.8785 0.7571 0.1785  8 Se 2.93-3.18
2 Pu 0.8672 0.7345 0.8063  8 Se 2.89-3.22
3 Pu 0.1215 0.2429 0.6785  8 Se 2.93-3.18
4 Pu 0.1328 0.2655 0.3063  8 Se 2.89-3.22
5 Se 0.3603 0.7205 0.9984  1 Li 2.60
6 Se 0.5009 0.0017 0.2784  1 Ga 2.42
7 Se 0.3129 0.6258 0.3496  1 Ga 2.44
8 Se 0.6397 0.2795 0.4984  1 Li 2.60
9 Se 0.7091 0.4183 0.1702  2 Li 2.69, 3 Pu 2.89-2.99
10 Se 0.9559 0.9118 0.5713  2 Ga 2.46
11 Se 0.4991 0.9983 0.7784  1 Ga 2.42
12 Se 0.6871 0.3742 0.8496  1 Ga 2.44
13 Se 0.2909 0.5817 0.6702  2 Li 2.69, 3 Pu 2.89-2.99
14 Se 0.0441 0.0882 0.0713  2 Ga 2.46
15 Ga 0.5684 0.1367 0.9546  4 Se 2.42-2.46
16 Ga 0.4316 0.8633 0.4546  4 Se 2.42-2.46
17 Li 0.2136 0.4271 0.0167  5 Se 2.60-2.84
18 Li 0.7864 0.5729 0.5167  5 Se 2.60-2.84

***

VASP calculation (PBE) on LiPuGaSi after structural relaxation.

## Properties
* mass density: 7.634 g/cm³
* energy: -25.703 eV per formula unit
* magnetic moment: 5.49 μB/cell
* ΔE_f (raw): -1.0 eV/f.u.

abc: 4.7516 4.7516 4.7516
angles: 60.00 60.00 60.00
Closest atoms and distances in Å follow each position.
Fractional positions:
1 Pu 0.2500 0.2500 0.2500  4 Ga 2.91, 4 Si 2.91
2 Ga 0.0000 0.0000 0.0000  4 Li 2.91, 4 Pu 2.91
3 Si 0.5000 0.5000 0.5000  4 Pu 2.91, 4 Li 2.91
4 Li 0.7500 0.7500 0.7500  4 Ga 2.91, 4 Si 2.91

***

VASP calculation (PBE) on LiPu2GaTe5 after structural relaxation.

## Properties
* mass density: 7.719 g/cm³
* energy: -56.325 eV per formula unit
* magnetic moment: 0.04 μB/cell
* ΔE_f (raw): -7.0 eV/f.u.

abc: 4.2258 9.7930 12.8056
angles: 90.00 90.00 102.46
Closest atoms and distances in Å follow each position.
Fractional positions:
1 Pu 0.1313 0.2625 0.3040  8 Te 3.13-3.47
2 Pu 0.1177 0.2353 0.6782  8 Te 3.17-3.37
3 Pu 0.8687 0.7375 0.8040  8 Te 3.13-3.47
4 Pu 0.8823 0.7647 0.1782  8 Te 3.17-3.37
5 Ga 0.5731 0.1463 0.9579  4 Te 2.65-2.67
6 Ga 0.4269 0.8537 0.4579  4 Te 2.65-2.67
7 Te 0.9559 0.9118 0.5777  2 Ga 2.67
8 Te 0.4998 0.9995 0.7825  1 Ga 2.65
9 Te 0.5002 0.0005 0.2825  1 Ga 2.65
10 Te 0.6394 0.2789 0.4968  1 Li 2.84, 2 Pu 3.17
11 Te 0.3606 0.7211 0.9968  1 Li 2.84, 2 Pu 3.17
12 Te 0.7105 0.4210 0.1685  2 Li 2.89, 2 Pu 3.13
13 Te 0.3108 0.6216 0.3437  1 Ga 2.66
14 Te 0.6892 0.3784 0.8437  1 Ga 2.66
15 Te 0.2895 0.5790 0.6685  2 Li 2.89, 2 Pu 3.13
16 Te 0.0441 0.0882 0.0777  2 Ga 2.67
17 Li 0.7876 0.5752 0.5148  5 Te 2.84-3.08
18 Li 0.2124 0.4248 0.0148  5 Te 2.84-3.08

***

Which of these has the highest energy?
LiPuGaSi

***

Which formula does entry 7 have?
LiPu2GaS5

***

What is the formula in the sixth record?
LiPuGaRu

***

Which formula does entry 9 have?
LiPu2GaSe5